Density functional theory data (PBE-GGA) for B3OsW after structural relaxation.

Calculated values
* energy relative to the elements: 1.944 eV per atom
* total magnetic moment: 0.00 μB/f.u.
* uncorrected energy: -6.8990 eV per atom

```
B3OsW
1.0
4.0272 0.0000 0.0000
0.0000 4.0272 0.0000
0.0000 0.0000 4.0272
B Os W
3 1 1
direct
0.0000 0.0000 0.5000
0.0000 0.5000 0.0000
0.5000 0.0000 0.0000
0.5000 0.5000 0.5000
0.0000 0.0000 0.0000
```